A geometry-optimized Cs3Tl2I4 structure, computed with PBE.

Calculated values
The raw total energy is -2.518 eV/atom. As for the space group: C2/c (15). As for the density of states at the Fermi level: 1.8 states/eV per cell. The total magnetic moment comes out at 2.0 Bohr magnetons per cell.

Structure (CIF):
```
data_Cs3Tl2I4
_chemical_formula_sum 'Cs6 Tl4 I8'
_cell_length_a 11.5497
_cell_length_b 11.5497
_cell_length_c 7.6466
_cell_angle_alpha 92.46
_cell_angle_beta 92.46
_cell_angle_gamma 76.76
_symmetry_space_group_name_H-M 'P 1'
_symmetry_Int_Tables_number 1
loop_
_symmetry_equiv_pos_as_xyz
'x,y,z'
loop_
_atom_site_label
_atom_site_type_symbol
_atom_site_fract_x
_atom_site_fract_y
_atom_site_fract_z
Cs1 Cs 0.1042 0.8958 0.7500
Cs2 Cs 0.2478 0.4878 0.4602
Cs3 Cs 0.4878 0.2478 0.9602
Cs4 Cs 0.5122 0.7522 0.0398
Cs5 Cs 0.7522 0.5122 0.5398
Cs6 Cs 0.8958 0.1042 0.2500
Tl1 Tl 0.0213 0.3535 0.0212
Tl2 Tl 0.3535 0.0213 0.5212
Tl3 Tl 0.6465 0.9787 0.4788
Tl4 Tl 0.9787 0.6465 0.9788
I1 I 0.0447 0.2739 0.6006
I2 I 0.2730 0.5638 0.9666
I3 I 0.2739 0.0447 0.1006
I4 I 0.4362 0.7270 0.5334
I5 I 0.5638 0.2730 0.4666
I6 I 0.7261 0.9553 0.8994
I7 I 0.7270 0.4362 0.0334
I8 I 0.9553 0.7261 0.3994
```